ScGaPbCl2 after structural relaxation. Source: the Alexandria database, functional PBE.

## Properties
Symmetry: P4/mmm (123)

```
data_ScGaPbCl2
_cell_length_a 5.484
_cell_length_b 5.484
_cell_length_c 6.048
_cell_angle_alpha 90.00
_cell_angle_beta 90.00
_cell_angle_gamma 90.00
_symmetry_space_group_name_H-M 'P 1'
_symmetry_Int_Tables_number 1
loop_
_symmetry_equiv_pos_as_xyz
'x,y,z'
loop_
_atom_site_label
_atom_site_fract_x
_atom_site_fract_y
_atom_site_fract_z
_atom_site_occupancy
Sc1 0.000 0.000 0.000 1
Ga1 0.500 0.500 0.000 1
Pb1 0.000 0.000 0.500 1
Cl1 0.000 0.500 0.500 1
Cl2 0.500 0.000 0.500 1
```



Ga2SiPbCl after structural relaxation. Source: the Alexandria database, functional PBE.

## Properties
Symmetry: P4/mmm (123)

```
data_Ga2SiPbCl
_cell_length_a 5.533
_cell_length_b 5.533
_cell_length_c 5.376
_cell_angle_alpha 90.00
_cell_angle_beta 90.00
_cell_angle_gamma 90.00
_symmetry_space_group_name_H-M 'P 1'
_symmetry_Int_Tables_number 1
loop_
_symmetry_equiv_pos_as_xyz
'x,y,z'
loop_
_atom_site_label
_atom_site_fract_x
_atom_site_fract_y
_atom_site_fract_z
_atom_site_occupancy
Ga1 0.000 0.500 0.000 1
Ga2 0.500 0.000 0.000 1
Si1 0.000 0.000 0.500 1
Pb1 0.500 0.500 0.000 1
Cl1 0.500 0.500 0.500 1
```



TlGa2PbCl8 after structural relaxation. Source: the Alexandria database, functional PBE.

## Properties
Symmetry: R-3 (148)

```
data_TlGa2PbCl8
_cell_length_a 10.425
_cell_length_b 10.425
_cell_length_c 10.425
_cell_angle_alpha 37.62
_cell_angle_beta 37.62
_cell_angle_gamma 37.62
_symmetry_space_group_name_H-M 'P 1'
_symmetry_Int_Tables_number 1
loop_
_symmetry_equiv_pos_as_xyz
'x,y,z'
loop_
_atom_site_label
_atom_site_fract_x
_atom_site_fract_y
_atom_site_fract_z
_atom_site_occupancy
Tl1 0.000 0.000 0.000 1
Ga1 0.256 0.256 0.256 1
Ga2 0.744 0.744 0.744 1
Pb1 0.500 0.500 0.500 1
Cl1 0.080 0.441 0.793 1
Cl2 0.207 0.920 0.559 1
Cl3 0.332 0.332 0.332 1
Cl4 0.441 0.793 0.080 1
Cl5 0.559 0.207 0.920 1
Cl6 0.668 0.668 0.668 1
Cl7 0.793 0.080 0.441 1
Cl8 0.920 0.559 0.207 1
```



Tl2GaPbCl6 after structural relaxation. Source: the Alexandria database, functional PBE.

## Properties
Symmetry: Cm (8)

```
data_Tl2GaPbCl6
_cell_length_a 7.669
_cell_length_b 7.669
_cell_length_c 7.675
_cell_angle_alpha 119.80
_cell_angle_beta 119.80
_cell_angle_gamma 90.30
_symmetry_space_group_name_H-M 'P 1'
_symmetry_Int_Tables_number 1
loop_
_symmetry_equiv_pos_as_xyz
'x,y,z'
loop_
_atom_site_label
_atom_site_fract_x
_atom_site_fract_y
_atom_site_fract_z
_atom_site_occupancy
Tl1 0.250 0.750 0.000 1
Tl2 0.750 0.250 0.000 1
Ga1 0.062 0.062 0.499 1
Pb1 0.561 0.561 0.499 1
Cl1 0.304 0.304 0.498 1
Cl2 0.315 0.315 0.975 1
Cl3 0.315 0.839 0.499 1
Cl4 0.834 0.834 0.500 1
Cl5 0.839 0.315 0.499 1
Cl6 0.840 0.840 0.023 1
```



TlGaPbCl6 after structural relaxation. Source: the Alexandria database, functional PBE.

## Properties
Symmetry: P312 (149)

```
data_TlGaPbCl6
_cell_length_a 7.063
_cell_length_b 7.063
_cell_length_c 6.752
_cell_angle_alpha 90.00
_cell_angle_beta 90.00
_cell_angle_gamma 120.00
_symmetry_space_group_name_H-M 'P 1'
_symmetry_Int_Tables_number 1
loop_
_symmetry_equiv_pos_as_xyz
'x,y,z'
loop_
_atom_site_label
_atom_site_fract_x
_atom_site_fract_y
_atom_site_fract_z
_atom_site_occupancy
Tl1 0.000 0.000 0.000 1
Ga1 0.333 0.667 0.500 1
Pb1 0.667 0.333 0.500 1
Cl1 0.053 0.394 0.290 1
Cl2 0.053 0.659 0.710 1
Cl3 0.341 0.394 0.710 1
Cl4 0.341 0.947 0.290 1
Cl5 0.606 0.659 0.290 1
Cl6 0.606 0.947 0.710 1
```



UGa2PbCl8 after structural relaxation. Source: the Alexandria database, functional PBE.

## Properties
Symmetry: P-1 (2)

```
data_UGa2PbCl8
_cell_length_a 6.765
_cell_length_b 6.972
_cell_length_c 8.660
_cell_angle_alpha 89.94
_cell_angle_beta 89.74
_cell_angle_gamma 87.28
_symmetry_space_group_name_H-M 'P 1'
_symmetry_Int_Tables_number 1
loop_
_symmetry_equiv_pos_as_xyz
'x,y,z'
loop_
_atom_site_label
_atom_site_fract_x
_atom_site_fract_y
_atom_site_fract_z
_atom_site_occupancy
U1 0.000 0.000 0.000 1
Ga1 0.499 0.500 0.733 1
Ga2 0.501 0.500 0.267 1
Pb1 0.000 0.000 0.500 1
Cl1 0.210 0.150 0.770 1
Cl2 0.214 0.144 0.228 1
Cl3 0.229 0.695 0.000 1
Cl4 0.277 0.672 0.501 1
Cl5 0.723 0.328 0.499 1
Cl6 0.771 0.305 0.000 1
Cl7 0.786 0.856 0.772 1
Cl8 0.790 0.850 0.230 1
```



ZnGa2PbCl after structural relaxation. Source: the Alexandria database, functional PBE.

## Properties
Symmetry: P4/mmm (123)

```
data_ZnGa2PbCl
_cell_length_a 4.807
_cell_length_b 4.807
_cell_length_c 5.530
_cell_angle_alpha 90.00
_cell_angle_beta 90.00
_cell_angle_gamma 90.00
_symmetry_space_group_name_H-M 'P 1'
_symmetry_Int_Tables_number 1
loop_
_symmetry_equiv_pos_as_xyz
'x,y,z'
loop_
_atom_site_label
_atom_site_fract_x
_atom_site_fract_y
_atom_site_fract_z
_atom_site_occupancy
Zn1 0.000 0.000 0.000 1
Ga1 0.000 0.500 0.000 1
Ga2 0.500 0.000 0.000 1
Pb1 0.500 0.500 0.500 1
Cl1 0.000 0.000 0.500 1
```



ZrGa2PbCl8 after structural relaxation. Source: the Alexandria database, functional PBE.

## Properties
Symmetry: P-1 (2)

```
data_ZrGa2PbCl8
_cell_length_a 6.710
_cell_length_b 6.938
_cell_length_c 8.366
_cell_angle_alpha 89.98
_cell_angle_beta 89.97
_cell_angle_gamma 87.12
_symmetry_space_group_name_H-M 'P 1'
_symmetry_Int_Tables_number 1
loop_
_symmetry_equiv_pos_as_xyz
'x,y,z'
loop_
_atom_site_label
_atom_site_fract_x
_atom_site_fract_y
_atom_site_fract_z
_atom_site_occupancy
Zr1 0.000 0.000 0.000 1
Ga1 0.499 0.500 0.743 1
Ga2 0.501 0.500 0.257 1
Pb1 0.000 0.000 0.500 1
Cl1 0.205 0.698 0.000 1
Cl2 0.217 0.133 0.216 1
Cl3 0.217 0.133 0.783 1
Cl4 0.273 0.666 0.500 1
Cl5 0.727 0.334 0.500 1
Cl6 0.783 0.867 0.217 1
Cl7 0.783 0.867 0.784 1
Cl8 0.795 0.302 0.000 1
```



GaPdCl2 after structural relaxation. Source: the Alexandria database, functional PBE.

## Properties
Energy above the most stable polymorph in this dataset in meV/atom: 112.2
Symmetry: R-3m (166)

```
data_GaPdCl2
_cell_length_a 3.637
_cell_length_b 3.637
_cell_length_c 25.794
_cell_angle_alpha 90.00
_cell_angle_beta 90.00
_cell_angle_gamma 120.00
_symmetry_space_group_name_H-M 'P 1'
_symmetry_Int_Tables_number 1
loop_
_symmetry_equiv_pos_as_xyz
'x,y,z'
loop_
_atom_site_label
_atom_site_fract_x
_atom_site_fract_y
_atom_site_fract_z
_atom_site_occupancy
Ga1 0.000 0.000 0.000 1
Ga2 0.333 0.667 0.667 1
Ga3 0.667 0.333 0.333 1
Pd1 0.000 0.000 0.500 1
Pd2 0.333 0.667 0.167 1
Pd3 0.667 0.333 0.833 1
Cl1 0.000 0.000 0.108 1
Cl2 0.000 0.000 0.892 1
Cl3 0.333 0.667 0.558 1
Cl4 0.333 0.667 0.775 1
Cl5 0.667 0.333 0.225 1
Cl6 0.667 0.333 0.442 1
```



GaPdCl2 after structural relaxation. Source: the Alexandria database, functional PBE.

## Properties
Energy above the most stable polymorph in this dataset in meV/atom: 144.5
Symmetry: Fm-3m (225)

```
data_GaPdCl2
_cell_length_a 6.847
_cell_length_b 6.847
_cell_length_c 6.847
_cell_angle_alpha 90.00
_cell_angle_beta 90.00
_cell_angle_gamma 90.00
_symmetry_space_group_name_H-M 'P 1'
_symmetry_Int_Tables_number 1
loop_
_symmetry_equiv_pos_as_xyz
'x,y,z'
loop_
_atom_site_label
_atom_site_fract_x
_atom_site_fract_y
_atom_site_fract_z
_atom_site_occupancy
Ga1 0.000 0.000 0.000 1
Ga2 0.000 0.500 0.500 1
Ga3 0.500 0.000 0.500 1
Ga4 0.500 0.500 0.000 1
Pd1 0.000 0.000 0.500 1
Pd2 0.000 0.500 0.000 1
Pd3 0.500 0.000 0.000 1
Pd4 0.500 0.500 0.500 1
Cl1 0.250 0.250 0.250 1
Cl2 0.250 0.250 0.750 1
Cl3 0.250 0.750 0.250 1
Cl4 0.250 0.750 0.750 1
Cl5 0.750 0.250 0.250 1
Cl6 0.750 0.250 0.750 1
Cl7 0.750 0.750 0.250 1
Cl8 0.750 0.750 0.750 1
```



Calculated N(E_F) in order - 4.1; 4.8; 6.9; 3.0; 0.0; 4.0; 2.9; 0.0; 3.4; 6.2 states/eV/f.u.
Calculated formation energy from raw total energies in order - 0.026; 0.751; -0.986; -0.969; -1.079; -1.239; 0.067; -1.262; -0.121; -0.089 eV per atom